Entry 1:
GGA-PBEsol CuS3I, optimized geometry; density = 3.8 g cm⁻³; total DFT energy (no corrections) = -3.89 eV per atom; space-group type = P1 (1); E_form (uncorrected) = -19 kJ/mol of formula units; Fermi-level density of states = 0.00 states/eV/cell
1.0
4.316 0.000 0.000
1.588 4.888 0.000
1.686 -0.373 5.924
Cu S I
1 3 1
Direct
0.000 0.000 0.000
0.208 0.573 0.117
0.418 0.605 0.370
0.901 0.320 0.268
0.623 0.950 0.759

Entry 2:
GGA-PBEsol CuSI2, optimized geometry; density = 6.7 g cm⁻³; total DFT energy (no corrections) = -2.33 eV per atom; offset from the most stable computed form = 765 meV/atom; space-group type = Fm-3m (225); E_form (uncorrected) = 281 kJ/mol of formula units; Fermi-level density of states = 13.40 states/eV/cell
1.0
7.038 0.000 0.000
0.000 7.038 0.000
0.000 0.000 7.038
Cu S I
4 4 8
Direct
0.000 0.000 0.000
0.000 0.500 0.500
0.500 0.000 0.500
0.500 0.500 0.000
0.000 0.000 0.500
0.000 0.500 0.000
0.500 0.000 0.000
0.500 0.500 0.500
0.250 0.250 0.250
0.250 0.250 0.750
0.250 0.750 0.250
0.250 0.750 0.750
0.750 0.250 0.250
0.750 0.250 0.750
0.750 0.750 0.250
0.750 0.750 0.750

Entry 3:
GGA-PBEsol Cu2S2I, optimized geometry; density = 5.2 g cm⁻³; total DFT energy (no corrections) = -4.01 eV per atom; space-group type = P-6m2 (187); E_form (uncorrected) = -80 kJ/mol of formula units; Fermi-level density of states = 2.24 states/eV/cell
1.0
3.728 0.000 0.000
-1.864 3.228 0.000
0.000 0.000 8.466
Cu S I
2 2 1
Direct
0.000 0.000 0.198
0.000 0.000 0.802
0.333 0.667 0.125
0.333 0.667 0.875
0.000 0.000 0.500

Entry 4:
GGA-PBEsol CuS2I, optimized geometry; density = 5.9 g cm⁻³; total DFT energy (no corrections) = -2.91 eV per atom; space-group type = Fm-3m (225); E_form (uncorrected) = 311 kJ/mol of formula units; Fermi-level density of states = 9.59 states/eV/cell
1.0
6.576 0.000 0.000
0.000 6.576 0.000
0.000 0.000 6.576
Cu S I
4 8 4
Direct
0.000 0.000 0.000
0.000 0.500 0.500
0.500 0.000 0.500
0.500 0.500 0.000
0.250 0.250 0.250
0.250 0.250 0.750
0.250 0.750 0.250
0.250 0.750 0.750
0.750 0.250 0.250
0.750 0.250 0.750
0.750 0.750 0.250
0.750 0.750 0.750
0.000 0.000 0.500
0.000 0.500 0.000
0.500 0.000 0.000
0.500 0.500 0.500

Entry 5:
GGA-PBEsol CuS2I2, optimized geometry; density = 4.5 g cm⁻³; total DFT energy (no corrections) = -3.35 eV per atom; space-group type = Cm (8); E_form (uncorrected) = -12 kJ/mol of formula units; Fermi-level density of states = 3.40 states/eV/cell
1.0
18.977 0.000 0.000
0.000 3.645 0.000
-0.239 0.000 4.086
Cu S I
2 4 4
Direct
0.000 0.000 0.000
0.500 0.500 0.000
0.354 0.000 0.239
0.434 0.000 0.942
0.854 0.500 0.239
0.934 0.500 0.942
0.082 0.000 0.529
0.241 0.000 0.898
0.582 0.500 0.529
0.741 0.500 0.898

Entry 6:
GGA-PBEsol Cu3SbI, optimized geometry; density = 6.4 g cm⁻³; total DFT energy (no corrections) = -2.82 eV per atom; space-group type = Pm-3m (221); E_form (uncorrected) = 506 kJ/mol of formula units; Fermi-level density of states = 3.83 states/eV/cell
1.0
4.844 0.000 0.000
0.000 4.844 0.000
0.000 0.000 4.844
Cu Sb I
3 1 1
Direct
0.000 0.000 0.500
0.000 0.500 0.000
0.500 0.000 0.000
0.500 0.500 0.500
0.000 0.000 0.000

Entry 7:
GGA-PBEsol ScCu2I, optimized geometry; density = 6.8 g cm⁻³; total DFT energy (no corrections) = -3.94 eV per atom; space-group type = Fm-3m (225); E_form (uncorrected) = 125 kJ/mol of formula units; Fermi-level density of states = 9.39 states/eV/cell
1.0
6.638 0.000 0.000
0.000 6.638 0.000
0.000 0.000 6.638
Sc Cu I
4 8 4
Direct
0.000 0.000 0.000
0.000 0.500 0.500
0.500 0.000 0.500
0.500 0.500 0.000
0.250 0.250 0.250
0.250 0.250 0.750
0.250 0.750 0.250
0.250 0.750 0.750
0.750 0.250 0.250
0.750 0.250 0.750
0.750 0.750 0.250
0.750 0.750 0.750
0.000 0.000 0.500
0.000 0.500 0.000
0.500 0.000 0.000
0.500 0.500 0.500

Entry 8:
GGA-PBEsol CuSeI, optimized geometry; density = 5.9 g cm⁻³; total DFT energy (no corrections) = -3.33 eV per atom; space-group type = Cm (8); E_form (uncorrected) = -4 kJ/mol of formula units; Fermi-level density of states = 4.16 states/eV/cell
1.0
7.158 0.000 0.000
0.000 3.812 0.000
-1.967 0.000 5.515
Cu Se I
2 2 2
Direct
0.000 0.000 0.000
0.500 0.500 0.000
0.298 0.000 0.900
0.798 0.500 0.900
0.290 0.000 0.412
0.790 0.500 0.412

Entry 9:
GGA-PBEsol Cu2SeI2, optimized geometry; density = 6.4 g cm⁻³; total DFT energy (no corrections) = -3.27 eV per atom; space-group type = C2 (5); E_form (uncorrected) = -29 kJ/mol of formula units; Fermi-level density of states = 5.20 states/eV/cell
1.0
6.366 0.000 0.000
0.000 4.069 0.000
-0.542 0.000 9.190
Cu Se I
4 2 4
Direct
0.187 0.000 0.338
0.313 0.500 0.662
0.687 0.500 0.338
0.813 0.000 0.662
0.000 0.342 0.500
0.500 0.842 0.500
0.173 0.038 0.821
0.327 0.538 0.179
0.673 0.538 0.821
0.827 0.038 0.179

Entry 10:
GGA-PBEsol CuSiI2, optimized geometry; density = 6.3 g cm⁻³; total DFT energy (no corrections) = -2.81 eV per atom; space-group type = Fm-3m (225); E_form (uncorrected) = 228 kJ/mol of formula units; Fermi-level density of states = 7.03 states/eV/cell
1.0
7.128 0.000 0.000
0.000 7.128 0.000
0.000 0.000 7.128
Cu Si I
4 4 8
Direct
0.000 0.000 0.000
0.000 0.500 0.500
0.500 0.000 0.500
0.500 0.500 0.000
0.000 0.000 0.500
0.000 0.500 0.000
0.500 0.000 0.000
0.500 0.500 0.500
0.250 0.250 0.250
0.250 0.250 0.750
0.250 0.750 0.250
0.250 0.750 0.750
0.750 0.250 0.250
0.750 0.250 0.750
0.750 0.750 0.250
0.750 0.750 0.750

Entry 11:
GGA-PBEsol ZnCuSiI2, optimized geometry; density = 4.9 g cm⁻³; total DFT energy (no corrections) = -2.61 eV per atom; space-group type = P4/mmm (123); E_form (uncorrected) = 206 kJ/mol of formula units; Fermi-level density of states = 3.55 states/eV/cell
1.0
5.624 0.000 0.000
0.000 5.624 0.000
0.000 0.000 4.405
Zn Cu Si I
1 1 1 2
Direct
0.000 0.000 0.000
0.500 0.500 0.000
0.500 0.500 0.500
0.000 0.500 0.500
0.500 0.000 0.500

Entry 12:
GGA-PBEsol TaCu3I, optimized geometry; density = 7.5 g cm⁻³; total DFT energy (no corrections) = -3.98 eV per atom; space-group type = Pm-3m (221); E_form (uncorrected) = 714 kJ/mol of formula units; Fermi-level density of states = 4.19 states/eV/cell
1.0
4.807 0.000 0.000
0.000 4.807 0.000
0.000 0.000 4.807
Ta Cu I
1 3 1
Direct
0.000 0.000 0.000
0.000 0.000 0.500
0.000 0.500 0.000
0.500 0.000 0.000
0.500 0.500 0.500

Entry 13:
GGA-PBEsol TaCu2I, optimized geometry; density = 10.6 g cm⁻³; total DFT energy (no corrections) = -4.64 eV per atom; space-group type = Fm-3m (225); E_form (uncorrected) = 427 kJ/mol of formula units; Fermi-level density of states = 18.91 states/eV/cell
1.0
6.477 0.000 0.000
0.000 6.477 0.000
0.000 0.000 6.477
Ta Cu I
4 8 4
Direct
0.000 0.000 0.000
0.000 0.500 0.500
0.500 0.000 0.500
0.500 0.500 0.000
0.250 0.250 0.250
0.250 0.250 0.750
0.250 0.750 0.250
0.250 0.750 0.750
0.750 0.250 0.250
0.750 0.250 0.750
0.750 0.750 0.250
0.750 0.750 0.750
0.000 0.000 0.500
0.000 0.500 0.000
0.500 0.000 0.000
0.500 0.500 0.500

Entry 14:
GGA-PBEsol CuTc3I, optimized geometry; density = 9.0 g cm⁻³; total DFT energy (no corrections) = -6.06 eV per atom; space-group type = Pm-3m (221); E_form (uncorrected) = 924 kJ/mol of formula units; Fermi-level density of states = 7.09 states/eV/cell
1.0
4.479 0.000 0.000
0.000 4.479 0.000
0.000 0.000 4.479
Cu Tc I
1 3 1
Direct
0.000 0.000 0.000
0.000 0.000 0.500
0.000 0.500 0.000
0.500 0.000 0.000
0.500 0.500 0.500

Entry 15:
GGA-PBEsol Cu3TeI, optimized geometry; density = 6.4 g cm⁻³; total DFT energy (no corrections) = -2.82 eV per atom; space-group type = Pm-3m (221); E_form (uncorrected) = 407 kJ/mol of formula units; Fermi-level density of states = 1.67 states/eV/cell
1.0
4.859 0.000 0.000
0.000 4.859 0.000
0.000 0.000 4.859
Cu Te I
3 1 1
Direct
0.000 0.000 0.500
0.000 0.500 0.000
0.500 0.000 0.000
0.500 0.500 0.500
0.000 0.000 0.000

Entry 16:
GGA-PBEsol Ti3CuI, optimized geometry; density = 5.6 g cm⁻³; total DFT energy (no corrections) = -5.61 eV per atom; space-group type = Pm-3m (221); E_form (uncorrected) = 290 kJ/mol of formula units; Fermi-level density of states = 7.53 states/eV/cell
1.0
4.627 0.000 0.000
0.000 4.627 0.000
0.000 0.000 4.627
Ti Cu I
3 1 1
Direct
0.000 0.000 0.500
0.000 0.500 0.000
0.500 0.000 0.000
0.000 0.000 0.000
0.500 0.500 0.500

Entry 17:
GGA-PBEsol TiCuI2, optimized geometry; density = 7.1 g cm⁻³; total DFT energy (no corrections) = -3.81 eV per atom; space-group type = Fm-3m (225); E_form (uncorrected) = 91 kJ/mol of formula units; Fermi-level density of states = 9.91 states/eV/cell
1.0
6.978 0.000 0.000
0.000 6.978 0.000
0.000 0.000 6.978
Ti Cu I
4 4 8
Direct
0.000 0.000 0.000
0.000 0.500 0.500
0.500 0.000 0.500
0.500 0.500 0.000
0.000 0.000 0.500
0.000 0.500 0.000
0.500 0.000 0.000
0.500 0.500 0.500
0.250 0.250 0.250
0.250 0.250 0.750
0.250 0.750 0.250
0.250 0.750 0.750
0.750 0.250 0.250
0.750 0.250 0.750
0.750 0.750 0.250
0.750 0.750 0.750

Entry 18:
GGA-PBEsol TiCu3I, optimized geometry; density = 5.6 g cm⁻³; total DFT energy (no corrections) = -3.18 eV per atom; space-group type = Pm-3m (221); E_form (uncorrected) = 695 kJ/mol of formula units; Fermi-level density of states = 6.75 states/eV/cell
1.0
4.770 0.000 0.000
0.000 4.770 0.000
0.000 0.000 4.770
Ti Cu I
1 3 1
Direct
0.000 0.000 0.000
0.000 0.500 0.500
0.500 0.000 0.500
0.500 0.500 0.000
0.500 0.500 0.500

Entry 19:
GGA-PBEsol TlCuI3, optimized geometry; density = 6.9 g cm⁻³; total DFT energy (no corrections) = -2.68 eV per atom; space-group type = Pm-3m (221); E_form (uncorrected) = -109 kJ/mol of formula units; Fermi-level density of states = 3.02 states/eV/cell
1.0
5.389 0.000 0.000
0.000 5.389 0.000
0.000 0.000 5.389
Tl Cu I
1 1 3
Direct
0.000 0.000 0.000
0.500 0.500 0.500
0.000 0.500 0.500
0.500 0.000 0.500
0.500 0.500 0.000

Entry 20:
GGA-PBEsol Tl2CuI3, optimized geometry; density = 7.3 g cm⁻³; total DFT energy (no corrections) = -2.92 eV per atom; space-group type = Pnnm (58); E_form (uncorrected) = -256 kJ/mol of formula units
1.0
9.025 0.000 0.000
0.000 9.323 0.000
0.000 0.000 9.227
Tl Cu I
8 4 12
Direct
0.149 0.140 0.242
0.149 0.140 0.758
0.351 0.640 0.258
0.351 0.640 0.742
0.649 0.360 0.258
0.649 0.360 0.742
0.851 0.860 0.242
0.851 0.860 0.758
0.044 0.372 0.500
0.456 0.872 0.000
0.544 0.128 0.000
0.956 0.628 0.500
0.000 0.500 0.250
0.000 0.500 0.750
0.147 0.837 0.500
0.168 0.834 0.000
0.332 0.334 0.500
0.353 0.337 0.000
0.500 0.000 0.250
0.500 0.000 0.750
0.647 0.663 0.000
0.668 0.666 0.500
0.832 0.166 0.000
0.853 0.163 0.500

Entry 21:
GGA-PBEsol TlCu2I2, optimized geometry; density = 7.5 g cm⁻³; total DFT energy (no corrections) = -2.89 eV per atom; space-group type = I4/mmm (139); E_form (uncorrected) = 37 kJ/mol of formula units; Fermi-level density of states = 4.04 states/eV/cell
1.0
3.817 0.000 0.000
0.000 3.817 0.000
0.000 0.000 17.829
Tl Cu I
2 4 4
Direct
0.000 0.000 0.000
0.500 0.500 0.500
0.000 0.500 0.250
0.000 0.500 0.750
0.500 0.000 0.250
0.500 0.000 0.750
0.000 0.000 0.354
0.000 0.000 0.646
0.500 0.500 0.146
0.500 0.500 0.854

Entry 22:
GGA-PBEsol TlCuI2, optimized geometry; density = 6.8 g cm⁻³; total DFT energy (no corrections) = -2.92 eV per atom; space-group type = I-42d (122); E_form (uncorrected) = -113 kJ/mol of formula units
1.0
7.901 0.000 0.000
0.000 7.901 0.000
0.000 0.000 8.109
Tl Cu I
4 4 8
Direct
0.000 0.000 0.000
0.000 0.500 0.250
0.500 0.000 0.750
0.500 0.500 0.500
0.000 0.000 0.500
0.000 0.500 0.750
0.500 0.000 0.250
0.500 0.500 0.000
0.168 0.250 0.625
0.250 0.668 0.875
0.250 0.832 0.375
0.332 0.250 0.125
0.668 0.750 0.125
0.750 0.168 0.375
0.750 0.332 0.875
0.832 0.750 0.625

Entry 23:
GGA-PBEsol Y2CuI, optimized geometry; density = 6.5 g cm⁻³; total DFT energy (no corrections) = -5.17 eV per atom; space-group type = Fm-3m (225); E_form (uncorrected) = -90 kJ/mol of formula units; Fermi-level density of states = 20.16 states/eV/cell
1.0
7.226 0.000 0.000
0.000 7.226 0.000
0.000 0.000 7.226
Y Cu I
8 4 4
Direct
0.250 0.250 0.250
0.250 0.250 0.750
0.250 0.750 0.250
0.250 0.750 0.750
0.750 0.250 0.250
0.750 0.250 0.750
0.750 0.750 0.250
0.750 0.750 0.750
0.000 0.000 0.000
0.000 0.500 0.500
0.500 0.000 0.500
0.500 0.500 0.000
0.000 0.000 0.500
0.000 0.500 0.000
0.500 0.000 0.000
0.500 0.500 0.500

Entry 24:
GGA-PBEsol YCu3I, optimized geometry; density = 6.0 g cm⁻³; total DFT energy (no corrections) = -3.46 eV per atom; space-group type = Pm-3m (221); E_form (uncorrected) = 413 kJ/mol of formula units; Fermi-level density of states = 2.71 states/eV/cell
1.0
4.832 0.000 0.000
0.000 4.832 0.000
0.000 0.000 4.832
Y Cu I
1 3 1
Direct
0.000 0.000 0.000
0.000 0.500 0.500
0.500 0.000 0.500
0.500 0.500 0.000
0.500 0.500 0.500

Entry 25:
GGA-PBEsol YCu2I, optimized geometry; density = 7.1 g cm⁻³; total DFT energy (no corrections) = -4.13 eV per atom; space-group type = Fm-3m (225); E_form (uncorrected) = 72 kJ/mol of formula units; Fermi-level density of states = 8.53 states/eV/cell
1.0
6.845 0.000 0.000
0.000 6.845 0.000
0.000 0.000 6.845
Y Cu I
4 8 4
Direct
0.000 0.000 0.000
0.000 0.500 0.500
0.500 0.000 0.500
0.500 0.500 0.000
0.250 0.250 0.250
0.250 0.250 0.750
0.250 0.750 0.250
0.250 0.750 0.750
0.750 0.250 0.250
0.750 0.250 0.750
0.750 0.750 0.250
0.750 0.750 0.750
0.000 0.000 0.500
0.000 0.500 0.000
0.500 0.000 0.000
0.500 0.500 0.500

Entry 26:
GGA-PBEsol ZrCu3I, optimized geometry; density = 6.5 g cm⁻³; total DFT energy (no corrections) = -3.50 eV per atom; space-group type = Pm-3m (221); E_form (uncorrected) = 613 kJ/mol of formula units; Fermi-level density of states = 4.55 states/eV/cell
1.0
4.710 0.000 0.000
0.000 4.710 0.000
0.000 0.000 4.710
Zr Cu I
1 3 1
Direct
0.000 0.000 0.000
0.000 0.500 0.500
0.500 0.000 0.500
0.500 0.500 0.000
0.500 0.500 0.500

Entry 27:
GGA-PBEsol In6Cu7, optimized geometry; formation energy = 0.04 eV/atom; density = 9.0 g cm⁻³; total DFT energy (no corrections) = -3.67 eV per atom; space-group type = R-3m (166); Fermi-level density of states = 3.37 states/eV/cell
1.0
2.586 1.493 9.035
-2.586 1.493 9.035
0.000 -2.986 9.035
In Cu
6 7
Direct
0.052 0.052 0.052
0.157 0.157 0.157
0.331 0.331 0.331
0.669 0.669 0.669
0.843 0.843 0.843
0.948 0.948 0.948
0.095 0.588 0.588
0.412 0.412 0.905
0.412 0.905 0.412
0.500 0.500 0.500
0.588 0.095 0.588
0.588 0.588 0.095
0.905 0.412 0.412